Density functional theory data (PBE) for a relaxed Ca2MgSn crystal.

The structure belongs to space group R-3m (No. 166, hexagonal axes); the cell edges are 3.6352, 3.6352 and 35.5841 Å and the angles 90.00°, 90.00° and 120.00°. The inequivalent atoms are Ca at (0.0000, 0.0000, 0.0889), Mg at (0.0000, 0.0000, 0.5000) and Sn at (0.0000, 0.0000, 0.0000).

The calculated formation energy is 0.078 eV/atom.

***

Density functional theory data (PBE) for a relaxed LiB4C4 crystal.

The structure belongs to space group Imm2 (No. 44); the cell edges are 2.7269, 22.9104 and 4.6523 Å and the angles 90.00°, 90.00° and 90.00°. The inequivalent atoms are Li at (0.0000, 0.0769, 0.0000), B at (0.0000, 0.0000, 0.3362), B at (0.0000, 0.1551, 0.6079), B at (0.0000, 0.2264, 0.1552), B at (0.0000, 0.3419, 0.6188), B at (0.0000, 0.5000, 0.3280), C at (0.0000, 0.0000, 0.6737), C at (0.0000, 0.1572, 0.2812), C at (0.0000, 0.2746, 0.4132), C at (0.0000, 0.3398, 0.2755) and C at (0.0000, 0.5000, 0.6726).

The calculated formation energy is 0.089 eV/atom. The calculation puts the offset from the most stable computed form at 0.000 eV/atom.

***

Density functional theory data (PBE) for a relaxed Ho2Tm2Sb3 crystal.

The structure belongs to space group P-1 (No. 2); the cell edges are 4.3222, 7.2750 and 7.3062 Å and the angles 81.14°, 89.96° and 72.78°. The inequivalent atoms are Ho at (0.1237, 0.2525, 0.3624), Tm at (0.3808, 0.7373, 0.1149), Sb at (0.2425, 0.0159, 0.7529) and Sb at (0.5000, 0.5000, 0.5000).

As for the calculated total energy: -5.152 eV per atom.

***

Density functional theory data (PBE) for a relaxed Ac6Ru2I3F crystal.

The structure belongs to space group C2/m (No. 12); the cell edges are 7.4687, 12.9601 and 9.0598 Å and the angles 90.00°, 106.02° and 90.00°. The inequivalent atoms are Ac at (0.2175, 0.0000, 0.1845), Ac at (0.2341, 0.3278, 0.1850), Ru at (0.0000, 0.1663, 0.0000), I at (0.0000, 0.0000, 0.5000), I at (0.0000, 0.3297, 0.5000) and F at (0.0000, 0.5000, 0.0000).

As for the calculated total energy: -5.234 eV per atom.

***

Density functional theory data (PBE) for a relaxed BaNaTa crystal.

The structure belongs to space group F-43m (No. 216); the cell edges are 8.0903, 8.0903 and 8.0903 Å and the angles 90.00°, 90.00° and 90.00°. The inequivalent atoms are Ba at (0.0000, 0.0000, 0.0000), Na at (0.2500, 0.2500, 0.7500) and Ta at (0.2500, 0.2500, 0.2500).

The calculated formation energy is 1.866 eV/atom. The calculation puts the offset from the most stable computed form at 1.482 eV/atom.

***

Density functional theory data (PBE) for a relaxed La2HfTlO crystal.

The structure belongs to space group P4/mmm (No. 123); the cell edges are 5.2912, 5.2912 and 4.3054 Å and the angles 90.00°, 90.00° and 90.00°. The inequivalent atoms are La at (0.0000, 0.5000, 0.0000), Hf at (0.0000, 0.0000, 0.5000), Tl at (0.5000, 0.5000, 0.5000) and O at (0.0000, 0.0000, 0.0000).

As for the calculated total energy: -6.598 eV per atom.

***

Density functional theory data (PBE) for a relaxed NbAuIN2 crystal.

The structure belongs to space group P4/mmm (No. 123); the cell edges are 4.0026, 4.0026 and 6.0963 Å and the angles 90.00°, 90.00° and 90.00°. The inequivalent atoms are Nb at (0.0000, 0.0000, 0.0000), Au at (0.5000, 0.5000, 0.5000), I at (0.5000, 0.5000, 0.0000) and N at (0.0000, 0.5000, 0.5000).

The calculation puts the offset from the most stable computed form at 1.623 eV/atom.

***

Density functional theory data (PBE) for a relaxed DyTm4Co5 crystal.

The structure belongs to space group P4/mmm (No. 123); the cell edges are 3.3035, 3.3035 and 16.4357 Å and the angles 90.00°, 90.00° and 90.00°. The inequivalent atoms are Dy at (0.0000, 0.0000, 0.0000), Tm at (0.0000, 0.0000, 0.2014), Tm at (0.0000, 0.0000, 0.4005), Co at (0.5000, 0.5000, 0.1024), Co at (0.5000, 0.5000, 0.3010) and Co at (0.5000, 0.5000, 0.5000).

The calculated formation energy is -0.205 eV/atom.

***

Density functional theory data (PBE) for a relaxed NdDy7Ho3 crystal.

The structure belongs to space group P2/m (No. 10); the cell edges are 6.9401, 5.5374 and 9.8647 Å and the angles 90.00°, 109.66° and 90.00°. The inequivalent atoms are Nd at (0.0000, 0.0000, 0.0000), Dy at (0.0000, 0.0000, 0.5000), Dy at (0.1475, 0.5000, 0.7900), Dy at (0.3250, 0.5000, 0.1428), Dy at (0.4242, 0.0000, 0.3317), Ho at (0.2772, 0.5000, 0.4967) and Ho at (0.5000, 0.0000, 0.0000).

The calculated formation energy is 0.143 eV/atom. The calculation puts the offset from the most stable computed form at 0.000 eV/atom.

***

Density functional theory data (PBE) for a relaxed Mg2InSb crystal.

The structure belongs to space group Fm-3m (No. 225); the cell edges are 7.3249, 7.3249 and 7.3249 Å and the angles 90.00°, 90.00° and 90.00°. The inequivalent atoms are Mg at (0.2500, 0.2500, 0.2500), In at (0.0000, 0.0000, 0.0000) and Sb at (0.0000, 0.0000, 0.5000).

The calculation puts the offset from the most stable computed form at 0.060 eV/atom.

***

Density functional theory data (PBE) for a relaxed LiPr6Te8 crystal.

The structure belongs to space group R-3 (No. 148, hexagonal axes); the cell edges are 9.4606, 9.4606 and 19.0725 Å and the angles 90.00°, 90.00° and 120.00°. The inequivalent atoms are Li at (0.0000, 0.0000, 0.0000), Pr at (0.0006, 0.3830, 0.0784), Te at (0.0000, 0.0000, 0.3300) and Te at (0.0051, 0.7340, 0.0887).

As for the calculated total energy: -5.098 eV per atom.

***

Density functional theory data (PBE) for a relaxed NbFeB3 crystal.

The structure belongs to space group Pm-3m (No. 221); the cell edges are 4.1069, 4.1069 and 4.1069 Å and the angles 90.00°, 90.00° and 90.00°. The inequivalent atoms are Nb at (0.0000, 0.0000, 0.0000), Fe at (0.5000, 0.5000, 0.5000) and B at (0.0000, 0.0000, 0.5000).

The calculated formation energy is 1.965 eV/atom.

***

Density functional theory data (PBE) for a relaxed ZrMn2Mo2 crystal.

The structure belongs to space group P4/mbm (No. 127); the cell edges are 7.2780, 7.2780 and 2.8738 Å and the angles 90.00°, 90.00° and 90.00°. The inequivalent atoms are Zr at (0.0000, 0.0000, 0.0000), Mn at (0.1380, 0.3620, 0.0000) and Mo at (0.1547, 0.6547, 0.5000).

The calculated formation energy is 0.211 eV/atom. The calculation puts the offset from the most stable computed form at 0.107 eV/atom.

***

Density functional theory data (PBE) for a relaxed TaSbAu4 crystal.

The structure belongs to space group F-43m (No. 216); the cell edges are 7.8260, 7.8260 and 7.8260 Å and the angles 90.00°, 90.00° and 90.00°. The inequivalent atoms are Ta at (0.0000, 0.0000, 0.0000), Sb at (0.2500, 0.2500, 0.2500) and Au at (0.1252, 0.1252, 0.6252).

As for the calculated total energy: -4.442 eV per atom.

***

Density functional theory data (PBE) for a relaxed SrCa3Rh crystal.

The structure belongs to space group R-3 (No. 148, hexagonal axes); the cell edges are 7.2264, 7.2264 and 25.6694 Å and the angles 90.00°, 90.00° and 120.00°. The inequivalent atoms are Sr at (0.0000, 0.0000, 0.1861), Ca at (0.0224, 0.4016, 0.2813) and Rh at (0.0000, 0.0000, 0.3060).

The calculated formation energy is -0.124 eV/atom. The calculation puts the offset from the most stable computed form at 0.103 eV/atom.

***

Density functional theory data (PBE) for a relaxed VSbIrI2 crystal.

The structure belongs to space group P4/mmm (No. 123); the cell edges are 5.1740, 5.1740 and 5.3683 Å and the angles 90.00°, 90.00° and 90.00°. The inequivalent atoms are V at (0.0000, 0.0000, 0.0000), Sb at (0.0000, 0.0000, 0.5000), Ir at (0.5000, 0.5000, 0.5000) and I at (0.0000, 0.5000, 0.0000).

The calculation puts the offset from the most stable computed form at 0.344 eV/atom.

***

Density functional theory data (PBE) for a relaxed AcThCu2Si2 crystal.

The structure belongs to space group P-3m1 (No. 164); the cell edges are 4.2102, 4.2102 and 8.5180 Å and the angles 90.00°, 90.00° and 120.00°. The inequivalent atoms are Ac at (0.0000, 0.0000, 0.0000), Th at (0.0000, 0.0000, 0.5000), Cu at (0.3333, 0.6667, 0.7330) and Si at (0.3333, 0.6667, 0.2711).

As for the calculated total energy: -5.681 eV per atom.

***

Density functional theory data (PBE) for a relaxed SmMn6Ge6 crystal.

The structure belongs to space group P6/mmm (No. 191); the cell edges are 5.1930, 5.1930 and 8.1963 Å and the angles 90.00°, 90.00° and 120.00°. The inequivalent atoms are Sm at (0.0000, 0.0000, 0.0000), Mn at (0.0000, 0.5000, 0.2518), Ge at (0.0000, 0.0000, 0.3461), Ge at (0.3333, 0.6667, 0.0000) and Ge at (0.3333, 0.6667, 0.5000).

The calculated formation energy is -0.293 eV/atom.

***

Density functional theory data (PBE) for a relaxed InAgRh2 crystal.

The structure belongs to space group P4/mmm (No. 123); the cell edges are 3.2210, 3.2210 and 6.3670 Å and the angles 90.00°, 90.00° and 90.00°. The inequivalent atoms are In at (0.0000, 0.0000, 0.0000), Ag at (0.0000, 0.0000, 0.5000) and Rh at (0.5000, 0.5000, 0.2431).

The calculated formation energy is -0.036 eV/atom.

***

Density functional theory data (PBE) for a relaxed La2Tl2Mo crystal.

The structure belongs to space group I4/mmm (No. 139); the cell edges are 4.0381, 4.0381 and 19.0702 Å and the angles 90.00°, 90.00° and 90.00°. The inequivalent atoms are La at (0.0000, 0.0000, 0.0855), Tl at (0.0000, 0.5000, 0.2500) and Mo at (0.0000, 0.0000, 0.5000).

The calculated formation energy is 0.481 eV/atom.

***

Number 1: calculated density 2.730 g/cm³. Number 2: calculated density 2.245 g/cm³. Number 3: calculated density 7.921 g/cm³. Number 4: calculated density 7.738 g/cm³. Number 5: calculated density 4.281 g/cm³. Number 6: calculated density 9.322 g/cm³. Number 7: calculated density 7.562 g/cm³. Number 8: calculated density 10.488 g/cm³. Number 9: calculated density 8.263 g/cm³. Number 10: calculated density 4.820 g/cm³. Number 11: calculated density 6.312 g/cm³. Number 12: calculated density 4.343 g/cm³. Number 13: calculated density 8.574 g/cm³. Number 14: calculated density 15.113 g/cm³. Number 15: calculated density 2.667 g/cm³. Number 16: calculated density 7.149 g/cm³. Number 17: calculated density 8.157 g/cm³. Number 18: calculated density 7.945 g/cm³. Number 19: calculated density 10.772 g/cm³. Number 20: calculated density 8.357 g/cm³.